Crystalline BaGa3Os at its relaxed geometry, computed with GGA-PBE.

Cell: 7.7972 7.2542 9.8442 Å, 90.00 115.63 90.00°
Fractional coordinates of all 20 atoms:
Ba 0.2268 0.2125 0.0551
Ba 0.2268 0.2875 0.5551
Ba 0.7732 0.7125 0.4449
Ba 0.7732 0.7875 0.9449
Ga 0.0309 0.5581 0.2516
Ga 0.0309 0.9419 0.7516
Ga 0.2585 0.7367 0.1328
Ga 0.2585 0.7633 0.6328
Ga 0.4677 0.0851 0.3865
Ga 0.4677 0.4149 0.8865
Ga 0.5323 0.5851 0.1135
Ga 0.5323 0.9149 0.6135
Ga 0.7415 0.2367 0.3672
Ga 0.7415 0.2633 0.8672
Ga 0.9691 0.0581 0.2484
Ga 0.9691 0.4419 0.7484
Os 0.2241 0.6613 0.8647
Os 0.2241 0.8387 0.3647
Os 0.7759 0.1613 0.6353
Os 0.7759 0.3387 0.1353

Output
V = 25.1 Å³/atom
calculated density = 7.10 g/cm³
E_form = -16.4 kJ/mol of atoms
M_tot = 0.00 μB/f.u.
SG = P2_1/c, No. 14

***

Crystalline KCaCl2 at its relaxed geometry, computed with GGA-PBE.

Cell: 9.2798 9.2798 9.2798 Å, 154.03 154.03 37.06°
Fractional coordinates of all 4 atoms:
K 0.0000 0.0000 0.0000
Ca 0.2500 0.7500 0.5000
Cl 0.5000 0.5000 0.0000
Cl 0.7500 0.2500 0.5000

Output
formation energy from raw total energies = -143.8 kJ/mol of atoms
V = 38.3 Å³/atom
calculated density = 1.63 g/cm³
M_tot = 0.00 μB/f.u.
SG = I-4m2, No. 119

***

Crystalline BeOsAu at its relaxed geometry, computed with GGA-PBE.

Cell: 5.4156 5.4156 5.4156 Å, 149.77 149.77 43.27°
Fractional coordinates of all 3 atoms:
Be 0.0000 0.0000 0.0000
Os 0.6280 0.6280 0.0000
Au 0.3384 0.3384 0.0000

Output
V = 13.4 Å³/atom
calculated density = 16.39 g/cm³
E_form = 21.4 kJ/mol of atoms
M_tot = 0.00 μB/f.u.
SG = I4mm, No. 107